# 1
8
Lattice="-1.8449 1.8449 7.0235 1.8449 -1.8449 7.0235 1.8449 1.8449 -7.0235" Properties=species:S:1:pos:R:3 comment="Ni6RhW (GGA-PBE, optimized geometry)" crystal_system=tetragonal pbc="T T T"
Ni 1.8449 0.0000 1.8207
Ni 0.0000 0.0000 3.4865
Ni 1.8449 0.0000 5.2028
Ni 0.0000 1.8449 1.8207
Ni 0.0000 0.0000 10.5606
Ni 0.0000 1.8449 5.2028
Rh 0.0000 0.0000 0.0000
W 0.0000 0.0000 7.0235



# 2
4
Lattice="2.7224 0.0000 0.0000 0.0000 3.8958 0.0000 -0.0204 0.0000 5.3960" Properties=species:S:1:pos:R:3 comment="NiRhW2 (GGA-PBE, optimized geometry)" crystal_system=monoclinic de_polymorph_ev_per_atom=0.005 pbc="T T T"
Ni 0.0000 0.0000 0.0000
Rh -0.0102 0.0000 2.6980
W 1.3544 1.9479 1.3238
W 1.3475 1.9479 4.0722



# 3
4
Lattice="1.3703 0.7912 8.7219 -1.3703 0.7912 8.7219 0.0000 -1.5823 8.7219" Properties=species:S:1:pos:R:3 comment="NiRh2W (GGA-PBE, optimized geometry)" crystal_system=trigonal de_polymorph_ev_per_atom=0.317 pbc="T T T"
Ni 0.0000 0.0000 0.0000
Rh 0.0000 0.0000 6.6370
Rh 0.0000 0.0000 13.0513
W 0.0000 0.0000 19.5933



# 4
7
Lattice="-2.3038 2.3038 4.5741 2.3038 -2.3038 4.5741 2.3038 2.3038 -4.5741" Properties=species:S:1:pos:R:3 comment="Ni4Rh2W (GGA-PBE, optimized geometry)" crystal_system=tetragonal de_polymorph_ev_per_atom=0.410 pbc="T T T"
Ni 2.3038 0.0000 0.0000
Ni 2.3038 0.0000 2.2871
Ni 0.0000 2.3038 0.0000
Ni 0.0000 2.3038 2.2871
Rh 0.0000 0.0000 1.3311
Rh 0.0000 0.0000 7.8171
W 0.0000 0.0000 4.5741



# 5
4
Lattice="1.3772 0.7952 8.6260 -1.3772 0.7952 8.6260 0.0000 -1.5903 8.6260" Properties=species:S:1:pos:R:3 comment="NiRh2W (GGA-PBE, optimized geometry)" crystal_system=trigonal de_polymorph_ev_per_atom=0.242 pbc="T T T"
Ni 0.0000 0.0000 0.0000
Rh 0.0000 0.0000 6.5039
Rh 0.0000 0.0000 19.3740
W 0.0000 0.0000 12.9390



# 6
6
Lattice="3.6431 -2.1937 0.0000 3.6431 2.1937 0.0000 -0.6322 0.0000 5.2722" Properties=species:S:1:pos:R:3 comment="NiRhW (GGA-PBE, optimized geometry)" crystal_system=monoclinic de_polymorph_ev_per_atom=0.203 pbc="T T T"
Ni 1.0384 0.0000 2.1113
Ni 5.6156 0.0000 3.1609
Rh 0.6131 0.0000 4.6490
Rh 6.0408 0.0000 0.6232
W 3.0841 0.0000 3.9520
W 3.5698 0.0000 1.3203



Number 1: ΔE_f -0.03 eV per atom. Number 2: ΔE_f -0.05 eV per atom. Number 3: ΔE_f 0.08 eV per atom. Number 4: ΔE_f 0.64 eV per atom. Number 5: ΔE_f 0.01 eV per atom. Number 6: ΔE_f 0.04 eV per atom.